Crystalline FeHgW at its relaxed geometry. Source: Alexandria via LeMat-Bulk, functional PBE-GGA.

formation energy from the elements	0.597	eV/atom
mass density	13.46	g/cm3
total energy	-119.56	eV for the cell shown
relative energy among the computed polymorphs	7.40	kcal/mol of atoms
Fermi-level density of states	0.570	states/eV per atom

Lattice parameters (Å, degrees): 4.006 4.006 23.458 90.00 90.00 120.00
Sites, in units of the cell vectors:
W (0.000, 0.000, 0.613)
W (0.333, 0.667, 0.697)
W (0.667, 0.333, 0.364)
W (0.667, 0.333, 0.947)
W (0.000, 0.000, 0.031)
W (0.333, 0.667, 0.280)
Fe (0.667, 0.333, 0.263)
Fe (0.333, 0.667, 0.596)
Fe (0.667, 0.333, 0.665)
Fe (0.000, 0.000, 0.331)
Fe (0.000, 0.000, 0.930)
Fe (0.333, 0.667, 0.998)
Hg (0.333, 0.667, 0.113)
Hg (0.667, 0.333, 0.780)
Hg (0.000, 0.000, 0.447)
Hg (0.000, 0.000, 0.192)
Hg (0.667, 0.333, 0.525)
Hg (0.333, 0.667, 0.859)